(1)
First-principles (PBE) data for a relaxed KNb crystal, as listed in the Alexandria database.

a = 3.0632 Å, b = 19.0582 Å, c = 6.7920 Å
α = 90.00°, β = 90.00°, γ = 90.00°
Space group Pmmn (No. 59, origin choice 2)
Asymmetric unit:
K (0.2500, 0.0559, 0.2493) [4 per cell]
K (0.2500, 0.7500, 0.7533) [2 per cell]
Nb (0.2500, 0.2500, 0.7470) [2 per cell]
Nb (0.2500, 0.6397, 0.2522) [4 per cell]

Summary:
- Formation energy from the elements: 1.032 eV per atom
- Energy above the most stable polymorph in this dataset: 154 meV per atom
- Final energy: -4.5520 eV per atom

=====

(2)
First-principles (PBE) data for a relaxed KNb2 crystal, as listed in the Alexandria database.

a = 3.0207 Å, b = 3.0209 Å, c = 8.7480 Å
α = 96.23°, β = 95.36°, γ = 112.35°
Space group P1 (No. 1)
Asymmetric unit:
K (0.0000, 0.0000, 0.0000) [1 per cell]
Nb (0.3941, 0.2143, 0.6202) [1 per cell]
Nb (0.7856, 0.5981, 0.3799) [1 per cell]

Summary:
- Formation energy from the elements: 0.732 eV per atom
- Energy above the most stable polymorph in this dataset: 274 meV per atom
- Final energy: -6.3474 eV per atom